Below is Nd2Ag2SnPb after structural relaxation, with properties calculated at the PBE-GGA level.

Values from the calculation:
Its crystal system is trigonal. The value obtained for the volume is 156.5 Å³/cell.

Cell and atoms, written as CIF:
```
data_Nd2Ag2SnPb
_chemical_formula_sum 'Nd2 Ag2 Sn1 Pb1'
_cell_length_a 4.8546
_cell_length_b 4.8546
_cell_length_c 7.6702
_cell_angle_alpha 90.00
_cell_angle_beta 90.00
_cell_angle_gamma 120.00
_space_group_name_H-M_alt 'P 1'
_space_group_IT_number 1
loop_
_space_group_symop_operation_xyz
'x,y,z'
loop_
_atom_site_label
_atom_site_type_symbol
_atom_site_fract_x
_atom_site_fract_y
_atom_site_fract_z
Ag1 Ag 0.0000 0.0000 0.1893
Ag2 Ag 0.3333 0.6667 0.6740
Sn1 Sn 0.3333 0.6667 0.2665
Pb1 Pb 0.0000 0.0000 0.7686
Nd1 Nd 0.6667 0.3333 0.4857
Nd2 Nd 0.6667 0.3333 0.9889
```


Below is Gd3AsN2 after structural relaxation, with properties calculated at the PBE-GGA level.

Values from the calculation:
Its crystal system is trigonal. The value obtained for the volume is 108.6 Å³/cell.

Cell and atoms, written as CIF:
```
data_Gd3AsN2
_chemical_formula_sum 'Gd3 As1 N2'
_cell_length_a 3.6363
_cell_length_b 3.6363
_cell_length_c 9.4831
_cell_angle_alpha 90.00
_cell_angle_beta 90.00
_cell_angle_gamma 120.00
_space_group_name_H-M_alt 'P 1'
_space_group_IT_number 1
loop_
_space_group_symop_operation_xyz
'x,y,z'
loop_
_atom_site_label
_atom_site_type_symbol
_atom_site_fract_x
_atom_site_fract_y
_atom_site_fract_z
Gd1 Gd 0.6667 0.3333 0.2086
Gd2 Gd 0.0000 0.0000 0.5000
Gd3 Gd 0.3333 0.6667 0.7914
N1 N 0.6667 0.3333 0.6514
N2 N 0.3333 0.6667 0.3486
As1 As 0.0000 0.0000 0.0000
```


Number 1: calculated total energy -4.36 eV per atom. Number 2: calculated total energy -7.32 eV per atom.